# 1
The following is a PBE calculation of an optimized crystal structure of As2OsBr, from the Alexandria database.

Calculated values
ΔE to the lowest computed polymorph: 0.723 eV/atom
DOS at the Fermi energy: 0.911 states/eV/atom
space-group type: C2/m
E_tot: -4.76 eV/atom
crystal system: monoclinic
formation energy from raw total energies: 0.7929 eV per atom

Unit cell a=4.6128 b=4.6128 c=4.6061 alpha=68.99 beta=68.99 gamma=106.35
With the nearest neighbours (Å) after each atom.
Positions (direct):
As 0.0000 0.0000 0.0000  2 Os 2.61, 2 Br 2.61, 2 As 2.76
As 0.5000 0.5000 0.0000  2 Br 2.61, 2 Os 2.61, 2 As 2.76
Os 0.0000 0.5000 0.5000  4 As 2.61, 2 Br 2.76
Br 0.5000 0.0000 0.5000  4 As 2.61, 2 Os 2.76



# 2
The following is a PBE calculation of an optimized crystal structure of Co4AsPb, from the Alexandria database.

Calculated values
DOS at the Fermi energy: 1.349 states/eV/atom
formation energy: 0.385 eV/atom
space-group type: F-43m
E_tot: -5.74 eV/atom
crystal system: cubic

Unit cell a=4.9842 b=4.9842 c=4.9842 alpha=60.00 beta=60.00 gamma=60.00
With the nearest neighbours (Å) after each atom.
Positions (direct):
Co 0.8772 0.3743 0.3743  6 Co 2.48-2.51
Co 0.3743 0.3743 0.8772  6 Co 2.48-2.51
Co 0.3743 0.8772 0.3743  6 Co 2.48-2.51
Co 0.3743 0.3743 0.3743  6 Co 2.48-2.51
As 0.0000 0.0000 0.0000  12 Co 2.92, 4 Pb 3.05
Pb 0.7500 0.7500 0.7500  12 Co 2.92, 4 As 3.05